No. 1
Sr2PuNi3H12 (PBE, relaxed); N(E_F) = 0.630 states/eV/atom; total DFT energy (no corrections) = -0.16385 hartree per atom; space-group type = R-3m; crystal system = trigonal
1.0
-2.603 3.337 4.419
-3.908 -2.939 3.678
1.926 -1.074 5.707
H Ni Sr Pu
12 3 2 1
direct
0.098 0.735 0.735
0.902 0.265 0.265
0.735 0.735 0.098
0.735 0.098 0.735
0.126 0.126 0.576
0.265 0.265 0.902
0.874 0.424 0.874
0.126 0.576 0.126
0.424 0.874 0.874
0.874 0.874 0.424
0.576 0.126 0.126
0.265 0.902 0.265
0.000 0.500 0.000
0.500 0.000 0.000
0.000 0.000 0.500
0.613 0.613 0.613
0.387 0.387 0.387
0.000 0.000 0.000

=====

No. 2
Pu2UNi3H12 (PBE, relaxed); N(E_F) = 1.273 states/eV/atom; total DFT energy (no corrections) = -0.20488 hartree per atom; space-group type = R-3m; crystal system = trigonal
1.0
-1.201 -5.204 2.814
4.067 -4.458 -0.179
3.049 -1.415 5.014
H Ni Pu U
12 3 2 1
direct
0.554 0.141 0.141
0.126 0.732 0.732
0.859 0.859 0.446
0.141 0.141 0.554
0.732 0.126 0.732
0.859 0.446 0.859
0.874 0.268 0.268
0.141 0.554 0.141
0.268 0.874 0.268
0.268 0.268 0.874
0.732 0.732 0.126
0.446 0.859 0.859
0.000 0.000 0.500
0.500 0.000 0.000
0.000 0.500 0.000
0.604 0.604 0.604
0.396 0.396 0.396
0.000 0.000 0.000

=====

No. 3
PuZnNi2H8 (PBE, relaxed); N(E_F) = 0.929 states/eV/atom; total DFT energy (no corrections) = -0.16480 hartree per atom; space-group type = P-3; crystal system = trigonal
1.0
4.262 0.000 0.000
-2.131 3.691 0.000
0.000 0.000 6.208
H Ni Zn Pu
8 2 1 1
direct
0.343 0.044 0.700
0.657 0.956 0.300
0.701 0.657 0.700
0.956 0.299 0.700
0.333 0.667 0.953
0.299 0.343 0.300
0.667 0.333 0.047
0.044 0.701 0.300
0.333 0.667 0.698
0.667 0.333 0.302
0.000 0.000 0.500
0.000 0.000 0.000

=====

No. 4
Pu2ZrNi3H12 (PBE, relaxed); N(E_F) = 1.159 states/eV/atom; total DFT energy (no corrections) = -0.20175 hartree per atom; space-group type = R-3m; crystal system = trigonal
1.0
5.873 -0.088 -0.062
2.824 5.150 -0.062
2.824 1.644 4.881
H Pu Zr Ni
12 2 1 3
direct
0.135 0.135 0.577
0.125 0.729 0.729
0.729 0.729 0.125
0.875 0.271 0.271
0.423 0.865 0.865
0.135 0.577 0.135
0.271 0.271 0.875
0.577 0.135 0.135
0.271 0.875 0.271
0.865 0.423 0.865
0.865 0.865 0.423
0.729 0.125 0.729
0.396 0.396 0.396
0.604 0.604 0.604
0.000 0.000 0.000
0.000 0.000 0.500
0.000 0.500 0.000
0.500 0.000 0.000